Computed, not measured: crystalline ScSbAuF2 at its relaxed geometry at the GGA-PBE level of DFT.

Cell: 4.0205 4.0205 6.2531 Å, 90.00 90.00 90.00°
With the nearest neighbours (Å) after each atom.
Fractional coordinates of all 5 atoms:
Sc 0.0000 0.0000 0.0000  4 F 2.01
Sb 0.0000 0.0000 0.5000  4 Au 2.84, 2 Sc 3.13
Au 0.5000 0.5000 0.5000  4 Sb 2.84
F 0.0000 0.5000 0.0000  2 Sc 2.01
F 0.5000 0.0000 0.0000  2 Sc 2.01

Computed properties:
- uncorrected formation energy (eV/atom) = -2.145
- spin magnetization (μB/f.u.) = 0.00

---

Computed, not measured: crystalline TlSbAu2F at its relaxed geometry at the GGA-PBE level of DFT.

Cell: 5.3683 5.3683 4.3848 Å, 90.00 90.00 90.00°
With the nearest neighbours (Å) after each atom.
Fractional coordinates of all 5 atoms:
Tl 0.0000 0.0000 0.0000  8 Au 3.47, 4 F 3.80
Sb 0.5000 0.5000 0.5000  2 F 2.19
Au 0.0000 0.5000 0.5000  2 Sb 2.68
Au 0.5000 0.0000 0.5000  2 Sb 2.68
F 0.5000 0.5000 0.0000  2 Sb 2.19

Computed properties:
- uncorrected formation energy (eV/atom) = -0.532
- spin magnetization (μB/f.u.) = 0.00

---

Computed, not measured: crystalline TlSbAuF2 at its relaxed geometry at the GGA-PBE level of DFT.

Cell: 4.4645 4.4645 5.4631 Å, 90.00 90.00 90.00°
With the nearest neighbours (Å) after each atom.
Fractional coordinates of all 5 atoms:
Tl 0.0000 0.0000 0.0000  4 Au 3.16, 8 F 3.53
Sb 0.5000 0.5000 0.5000  4 F 2.23
Au 0.5000 0.5000 0.0000  2 Sb 2.73
F 0.0000 0.5000 0.5000  2 Sb 2.23
F 0.5000 0.0000 0.5000  2 Sb 2.23

Computed properties:
- uncorrected formation energy (eV/atom) = -1.220
- spin magnetization (μB/f.u.) = 0.00

---

Q: spin magnetization of number 3 (TlSbAuF2)?
A: 0.00 μB/f.u.